No. 1
RbPPdS2: relaxed, GGA-PBE.

abc: 5.1277 5.1277 4.5002
angles: 90.00 90.00 90.00
Sites, in units of the cell vectors:
P 0.0000 0.0000 0.5000
S 0.0000 0.5000 0.0000
S 0.5000 0.0000 0.0000
Rb 0.5000 0.5000 0.5000
Pd 0.0000 0.0000 0.0000

Results
As for the density of states at the Fermi level: 0.92 states/eV/atom. The energy relative to the elements, uncorrected is 0.074 eV per atom. For the energy above the most stable polymorph in this dataset, the calculation gives 0.000 eV/atom. The value obtained for the volume is 118 Å³/cell. As for the space group: P4/mmm, No. 123.

=====

No. 2
K2AgPb: relaxed, GGA-PBE.

abc: 3.6874 3.6874 10.1435
angles: 90.00 90.00 89.99
Sites, in units of the cell vectors:
Ag 0.5000 0.5000 0.7500
K 0.0000 0.0000 0.9783
K 0.0000 0.0000 0.5217
Pb 0.5000 0.5000 0.2500

Results
The value obtained for the calculated formation energy is 0.047 eV/atom. As for the density of states at the Fermi level: 0.43 states/eV/atom. The value obtained for the volume is 138 Å³/cell. As for the space group: P4/mmm, No. 123.

=====

No. 3
ZrTi2Cd: relaxed, GGA-PBE.

abc: 4.0757 4.0757 10.3791
angles: 78.68 78.68 90.00
Sites, in units of the cell vectors:
Ti 0.6182 0.1250 0.2500
Ti 0.1318 0.6250 0.2500
Ti 0.3750 0.3818 0.7500
Ti 0.8750 0.8682 0.7500
Zr 0.5000 0.5000 0.0000
Zr 0.2500 0.7500 0.5000
Cd 0.0000 0.0000 0.0000
Cd 0.7500 0.2500 0.5000

Results
The value obtained for the calculated formation energy is 0.420 eV/atom. As for the density of states at the Fermi level: 1.28 states/eV/atom. The value obtained for the volume is 166 Å³/cell. As for the space group: I-42d, No. 122.